No. 1
Computed, not measured: a relaxed structure of PrNdAu2 at the PBE level of DFT.

```
PrNdAu2
1.0
4.195 0.000 0.000
2.097 3.633 0.000
2.097 1.211 7.669
Pr Au Nd
1 2 1
direct
0.498 0.498 0.505
0.083 0.083 0.751
0.250 0.250 0.249
0.668 0.668 0.995
```

Properties
DOS(E_F) ... 4.310 states/eV/cell
Electronic total energy ... -4.68 eV/atom
Formation enthalpy at 0 K ... -0.650 eV/atom

No. 2
Computed, not measured: a relaxed structure of TeSeIN2 at the PBE level of DFT.

```
TeSeIN2
1.0
4.085 0.000 0.000
0.000 4.085 0.000
0.000 0.000 6.952
Se I Te N
1 1 1 2
direct
0.000 0.000 0.000
0.500 0.500 0.500
0.000 0.000 0.500
0.500 0.000 0.000
0.000 0.500 0.000
```

Properties
Excess energy over the best structure of this formula in the dataset ... 366 meV per atom
DOS(E_F) ... 5.226 states/eV/cell
Electronic total energy ... -3.24 eV/atom

No. 3
Computed, not measured: a relaxed structure of LiTaAsBr2 at the PBE level of DFT.

```
LiTaAsBr2
1.0
-0.556 5.104 1.108
-2.218 -1.240 4.597
4.524 0.018 2.187
Br Ta Li As
2 1 1 1
direct
0.000 0.500 0.000
0.500 0.000 0.000
0.000 0.000 0.000
0.500 0.500 0.500
0.000 0.000 0.500
```

Properties
Excess energy over the best structure of this formula in the dataset ... 0 meV per atom
DOS(E_F) ... 1.495 states/eV/cell
Electronic total energy ... -4.57 eV/atom

No. 4
Computed, not measured: a relaxed structure of Be2Se at the PBE level of DFT.

```
Be2Se
1.0
-3.239 -0.694 1.162
1.545 -4.011 1.911
1.155 2.766 4.873
Be Se
4 2
direct
0.500 0.682 0.900
0.000 0.182 0.600
0.500 0.318 0.100
0.000 0.818 0.400
0.500 0.500 0.500
0.000 0.000 0.000
```

Properties
Excess energy over the best structure of this formula in the dataset ... 650 meV per atom
DOS(E_F) ... 1.084 states/eV/cell
Electronic total energy ... -3.29 eV/atom

No. 5
Computed, not measured: a relaxed structure of AcPm7Ho2 at the PBE level of DFT.

```
AcPm7Ho2
1.0
-5.331 -1.666 0.136
1.647 -5.683 -5.053
-1.742 -3.069 8.873
Pm Ac Ho
7 1 2
direct
0.632 0.667 0.736
0.368 0.931 0.264
0.632 0.069 0.736
0.158 0.342 0.684
0.500 0.500 0.000
0.368 0.333 0.264
0.842 0.658 0.316
0.000 0.000 0.000
0.785 0.215 0.430
0.215 0.785 0.570
```

Properties
Excess energy over the best structure of this formula in the dataset ... 0 meV per atom
DOS(E_F) ... 14.301 states/eV/cell
Electronic total energy ... -4.47 eV/atom
Formation enthalpy at 0 K ... 0.183 eV/atom

No. 6
Computed, not measured: a relaxed structure of La2AlCoIr at the PBE level of DFT.

```
La2AlCoIr
1.0
5.548 0.000 0.000
0.000 4.639 0.000
0.000 0.000 5.548
La Co Ir Al
2 1 1 1
direct
0.000 0.000 0.500
0.500 0.000 0.000
0.000 0.500 0.000
0.000 0.000 0.000
0.500 0.500 0.500
```

Properties
DOS(E_F) ... 4.712 states/eV/cell
Electronic total energy ... -5.86 eV/atom
Formation enthalpy at 0 K ... 0.053 eV/atom

No. 7
Computed, not measured: a relaxed structure of TeP2W at the PBE level of DFT.

```
TeP2W
1.0
-2.340 2.177 -0.306
-2.610 -2.314 3.492
1.894 2.465 3.050
W Te P
1 1 2
direct
0.000 0.500 0.500
0.500 0.000 0.500
0.000 0.000 0.000
0.500 0.500 0.000
```

Properties
DOS(E_F) ... 2.980 states/eV/cell
Electronic total energy ... -5.84 eV/atom

No. 8
Computed, not measured: a relaxed structure of BiHRhPb2 at the PBE level of DFT.

```
BiHRhPb2
1.0
-2.421 0.313 -5.033
3.169 -4.248 -1.789
-2.512 -2.322 1.064
Rh Bi Pb H
1 1 2 1
direct
0.000 0.000 0.000
0.500 0.500 0.500
0.500 0.000 0.000
0.000 0.500 0.000
0.000 0.000 0.500
```

Properties
DOS(E_F) ... 3.408 states/eV/cell
Electronic total energy ... -4.27 eV/atom